Entry 1:
Computed, not measured: a relaxed AlFeB crystal at the PBE-GGA level of DFT.

Values from the calculation:
The total energy comes out at -19.47 eV per formula unit. Its magnetization is 0.000 μB per formula unit. The theoretical density is 5.12 g/cm3. The formation energy comes out at -0.585 eV/f.u.

a = 2.819 Å, b = 5.009 Å, c = 5.171 Å
α = 118.97°, β = 105.82°, γ = 90.00°
Fractional coordinates of all 6 atoms:
Al (0.303, 0.303, 0.606)
Al (0.697, 0.697, 0.394)
Fe (0.000, 0.248, 0.000)
Fe (0.000, 0.752, 0.000)
B (0.600, 0.100, 0.200)
B (0.400, 0.900, 0.800)



Entry 2:
Computed, not measured: a relaxed AlFeB2 crystal at the PBE-GGA level of DFT.

Values from the calculation:
The total energy comes out at -24.27 eV per formula unit. Its magnetization is 0.164 μB per formula unit. The theoretical density is 4.60 g/cm3. The formation energy comes out at 1.288 eV/f.u.

a = 2.672 Å, b = 2.672 Å, c = 6.297 Å
α = 77.75°, β = 77.75°, γ = 60.00°
Fractional coordinates of all 4 atoms:
B (0.258, 0.258, 0.225)
B (0.742, 0.742, 0.775)
Fe (0.000, 0.000, 0.000)
Al (0.500, 0.500, 0.500)



Entry 3:
Computed, not measured: a relaxed AlFe10B3 crystal at the PBE-GGA level of DFT.

Values from the calculation:
The total energy comes out at -111.10 eV per formula unit. Its magnetization is 20.467 μB per formula unit. The theoretical density is 6.90 g/cm3. The formation energy comes out at -2.700 eV/f.u.

a = 7.492 Å, b = 7.492 Å, c = 7.492 Å
α = 60.00°, β = 60.00°, γ = 60.00°
Fractional coordinates of all 28 atoms:
Al (0.250, 0.250, 0.250)
Al (0.750, 0.750, 0.750)
Fe (0.000, 0.000, 0.337)
Fe (0.000, 0.337, 0.000)
Fe (0.337, 0.000, 0.000)
Fe (0.663, 0.337, 0.000)
Fe (0.385, 0.385, 0.385)
Fe (0.154, 0.615, 0.615)
Fe (0.385, 0.846, 0.385)
Fe (0.663, 0.000, 0.337)
Fe (0.385, 0.385, 0.846)
Fe (0.846, 0.385, 0.385)
Fe (0.615, 0.615, 0.154)
Fe (0.000, 0.000, 0.663)
Fe (0.337, 0.663, 0.000)
Fe (0.000, 0.663, 0.337)
Fe (0.000, 0.337, 0.663)
Fe (0.663, 0.000, 0.000)
Fe (0.615, 0.615, 0.615)
Fe (0.000, 0.663, 0.000)
Fe (0.615, 0.154, 0.615)
Fe (0.337, 0.000, 0.663)
B (0.726, 0.726, 0.274)
B (0.726, 0.274, 0.726)
B (0.274, 0.726, 0.726)
B (0.274, 0.274, 0.726)
B (0.726, 0.274, 0.274)
B (0.274, 0.726, 0.274)